# TlIn2Rh | Alexandria via LeMat-Bulk | PBE-GGA | optimized geometry
# Raw total energy = -14.39 eV/cell
# ΔH_f (0 K) = 0.1999 eV per atom
data_TlIn2Rh
_chemical_formula_sum 'Tl1 In2 Rh1'
_space_group_name_H-M_alt 'P m m m'
_space_group_IT_number 47
_space_group_name_Hall '-P 2 2'
_cell_length_a 3.525
_cell_length_b 4.937
_cell_length_c 5.026
_cell_angle_alpha 90.00
_cell_angle_beta 90.00
_cell_angle_gamma 90.00
loop_
_atom_site_label
_atom_site_type_symbol
_atom_site_fract_x
_atom_site_fract_y
_atom_site_fract_z
_atom_site_occupancy
Tl1 Tl 0.000 0.000 0.000 1
In1 In 0.000 0.500 0.500 1
In2 In 0.500 0.500 0.000 1
Rh1 Rh 0.500 0.000 0.500 1